(1)
The following is a DFT calculation (PBEsol) of an optimized crystal structure of Ba2ScAg.

POSCAR file:
```
Ba2ScAg
1.0
8.273 0.000 0.000
0.000 8.292 0.000
0.000 0.000 3.941
Ba Sc Ag
4 2 2
Direct
0.250 0.250 0.000
0.250 0.750 0.000
0.750 0.250 0.000
0.750 0.750 0.000
0.000 0.000 0.500
0.500 0.500 0.500
0.000 0.500 0.500
0.500 0.000 0.500
```

Values from the calculation:
- electronic total energy (eV per atom) = -3.3452
- SG = Cmmm, No. 65
- Fermi-level density of states (states/eV per cell) = 9.7
- offset from the most stable computed form (meV per atom) = 117

=====

(2)
The following is a DFT calculation (PBEsol) of an optimized crystal structure of Ba2ScAg.

POSCAR file:
```
Ba2ScAg
1.0
5.670 0.000 0.000
0.000 5.670 0.000
0.000 0.000 8.558
Ba Sc Ag
4 2 2
Direct
0.000 0.500 0.250
0.000 0.500 0.750
0.500 0.000 0.250
0.500 0.000 0.750
0.000 0.000 0.000
0.500 0.500 0.500
0.000 0.000 0.500
0.500 0.500 0.000
```

Values from the calculation:
- electronic total energy (eV per atom) = -3.2389
- SG = I4/mmm, No. 139
- Fermi-level density of states (states/eV per cell) = 13.7
- offset from the most stable computed form (meV per atom) = 224

=====

no.,formation energy (eV/atom)
1,0.208
2,0.315